A relaxed structure of SrP2SCl, computed with PBEsol.

Cell and atoms, written as POSCAR:
```
SrP2SCl
1.0
-3.176 -3.913 1.461
4.241 -3.899 -1.224
1.998 0.440 5.523
Sr S P Cl
1 1 2 1
direct
0.000 0.000 0.000 Sr
0.500 0.500 0.500 S
0.000 0.000 0.500 P
0.000 0.500 0.000 P
0.500 0.000 0.000 Cl
```

***

A relaxed structure of Si2NiPd, computed with PBEsol.

Cell and atoms, written as POSCAR:
```
Si2NiPd
1.0
3.354 0.000 0.000
0.000 5.375 0.000
0.000 0.000 5.836
Ni Si Pd
2 4 2
direct
0.500 0.508 0.057 Ni
0.500 0.008 0.943 Ni
0.500 0.675 0.694 Si
0.500 0.175 0.306 Si
0.000 0.319 0.851 Si
0.000 0.819 0.149 Si
0.000 0.497 0.433 Pd
0.000 0.997 0.567 Pd
```

***

| no. | raw formation energy (eV/f.u.) | total energy (eV per cell) |
| --- | --- | --- |
| 1 | 4.89 | -14.92 |
| 2 | -2.40 | -52.02 |